# 1
## BaHfFe (GGA-PBE)

Data for an optimized crystal structure of BaHfFe.

POSCAR file:
```
BaHfFe
1.0
0.000 3.429 3.429
3.429 0.000 3.429
3.429 3.429 0.000
Ba Fe Hf
1 1 1
Cartesian
0.000 0.000 0.000 Ba
1.714 1.714 1.714 Fe
5.143 5.143 5.143 Hf
```

## Properties
polymorph energy (0 for the lowest one)	0.921	eV/atom
calculated density	7.656	g cm⁻³
calculated volume	80.6	Å³/cell
total moment	2.24	μB/cell


# 2
## Ba2HfFe (GGA-PBE)

Data for an optimized crystal structure of Ba2HfFe.

POSCAR file:
```
Ba2HfFe
1.0
0.000 3.819 3.819
3.819 0.000 3.819
3.819 3.819 0.000
Ba Fe Hf
2 1 1
Cartesian
0.000 0.000 0.000 Ba
5.728 5.728 5.728 Ba
1.909 1.909 1.909 Fe
3.819 3.819 3.819 Hf
```

## Properties
polymorph energy (0 for the lowest one)	0.000	eV/atom
calculated density	7.590	g cm⁻³
calculated volume	111.4	Å³/cell
total moment	1.50	μB/cell


# 3
## BaHfFe (GGA-PBE)

Data for an optimized crystal structure of BaHfFe.

POSCAR file:
```
BaHfFe
1.0
0.000 3.387 3.387
3.387 0.000 3.387
3.387 3.387 0.000
Ba Fe Hf
1 1 1
Cartesian
1.693 1.693 1.693 Ba
0.000 0.000 0.000 Fe
5.080 5.080 5.080 Hf
```

## Properties
polymorph energy (0 for the lowest one)	0.000	eV/atom
calculated density	7.942	g cm⁻³
calculated volume	77.7	Å³/cell
total moment	0.26	μB/cell


# 4
## BaHoFe (GGA-PBE)

Data for an optimized crystal structure of BaHoFe.

POSCAR file:
```
BaHoFe
1.0
2.146 -3.503 -2.989
-0.732 -4.938 0.945
-2.882 -2.784 -3.124
Ba Fe Ho
1 1 1
Cartesian
0.000 0.000 0.000 Ba
-0.367 -2.806 -1.292 Fe
-1.101 -8.419 -3.876 Ho
```

## Properties
polymorph energy (0 for the lowest one)	0.266	eV/atom
calculated density	6.412	g cm⁻³
calculated volume	92.7	Å³/cell
total moment	2.43	μB/cell


# 5
## BaHoFe (GGA-PBE)

Data for an optimized crystal structure of BaHoFe.

POSCAR file:
```
BaHoFe
1.0
0.000 3.575 3.575
3.575 0.000 3.575
3.575 3.575 0.000
Ba Fe Ho
1 1 1
Cartesian
1.788 1.788 1.788 Ba
5.363 5.363 5.363 Fe
0.000 0.000 0.000 Ho
```

## Properties
polymorph energy (0 for the lowest one)	0.000	eV/atom
calculated density	6.505	g cm⁻³
calculated volume	91.4	Å³/cell
total moment	1.50	μB/cell


# 6
## Ba2InFeS6 (GGA-PBE)

Data for an optimized crystal structure of Ba2InFeS6.

POSCAR file:
```
Ba2InFeS6
1.0
4.902 -4.902 0.000
4.902 4.902 0.000
-4.902 0.000 4.902
Ba Fe In S
2 1 1 6
Cartesian
2.451 -2.451 2.451 Ba
2.451 2.451 2.451 Ba
0.000 0.000 0.000 Fe
4.902 0.000 0.000 In
2.329 0.000 0.000 S
4.902 -2.573 0.000 S
4.902 2.573 0.000 S
7.474 0.000 0.000 S
0.000 0.000 2.329 S
4.902 0.000 2.573 S
```

## Properties
calculated density	4.496	g cm⁻³
calculated volume	235.5	Å³/cell
total moment	3.73	μB/cell
E_tot	-48.38	eV for the cell shown


# 7
## BaLi2Fe (GGA-PBE)

Data for an optimized crystal structure of BaLi2Fe.

POSCAR file:
```
BaLi2Fe
1.0
0.000 3.420 3.420
3.420 0.000 3.420
3.420 3.420 0.000
Ba Fe Li
1 1 2
Cartesian
3.420 3.420 3.420 Ba
1.710 1.710 1.710 Fe
0.000 0.000 0.000 Li
5.130 5.130 5.130 Li
```

## Properties
calculated density	4.298	g cm⁻³
calculated volume	80.0	Å³/cell
total moment	2.12	μB/cell
E_tot	-11.25	eV for the cell shown


# 8
## BaLuFe2 (GGA-PBE)

Data for an optimized crystal structure of BaLuFe2.

POSCAR file:
```
BaLuFe2
1.0
0.000 3.496 3.496
3.496 0.000 3.496
3.496 3.496 0.000
Ba Fe Lu
1 2 1
Cartesian
5.243 5.243 5.243 Ba
0.000 0.000 0.000 Fe
1.748 1.748 1.748 Fe
3.496 3.496 3.496 Lu
```

## Properties
calculated density	8.242	g cm⁻³
calculated volume	85.4	Å³/cell
total moment	5.01	μB/cell
E_tot	-19.68	eV for the cell shown


# 9
## BaMgFeW (GGA-PBE)

Data for an optimized crystal structure of BaMgFeW.

POSCAR file:
```
BaMgFeW
1.0
0.000 3.504 3.504
3.504 0.000 3.504
3.504 3.504 0.000
Ba Fe Mg W
1 1 1 1
Cartesian
3.504 3.504 3.504 Ba
1.752 1.752 1.752 Fe
5.256 5.256 5.256 Mg
0.000 0.000 0.000 W
```

## Properties
polymorph energy (0 for the lowest one)	0.000	eV/atom
calculated density	7.744	g cm⁻³
calculated volume	86.1	Å³/cell
total moment	4.00	μB/cell


# 10
## BaMgFeW (GGA-PBE)

Data for an optimized crystal structure of BaMgFeW.

POSCAR file:
```
BaMgFeW
1.0
4.106 -2.485 -0.975
0.968 -4.164 2.389
-0.233 -4.286 -2.357
Ba Fe Mg W
1 1 1 1
Cartesian
0.000 0.000 0.000 Ba
2.421 -5.467 -0.471 Fe
3.631 -8.201 -0.707 Mg
1.210 -2.734 -0.236 W
```

## Properties
polymorph energy (0 for the lowest one)	0.066	eV/atom
calculated density	8.024	g cm⁻³
calculated volume	83.1	Å³/cell
total moment	0.98	μB/cell


# 11
## BaMgFeW (GGA-PBE)

Data for an optimized crystal structure of BaMgFeW.

POSCAR file:
```
BaMgFeW
1.0
-0.109 -5.015 -0.578
2.021 -2.993 3.529
-2.990 -2.816 2.937
Ba Fe Mg W
1 1 1 1
Cartesian
-0.270 -2.706 1.472 Ba
-0.539 -5.412 2.944 Fe
-0.809 -8.118 4.416 Mg
0.000 0.000 0.000 W
```

## Properties
polymorph energy (0 for the lowest one)	0.216	eV/atom
calculated density	7.320	g cm⁻³
calculated volume	91.0	Å³/cell
total moment	5.32	μB/cell


# 12
## Ba2NaFe2N3 (GGA-PBE)

Data for an optimized crystal structure of Ba2NaFe2N3.

POSCAR file:
```
Ba2NaFe2N3
1.0
-2.899 5.495 -2.737
-2.654 -6.148 -1.114
-3.943 0.721 5.771
Ba Fe N Na
4 4 6 2
Cartesian
-1.797 0.698 -0.521 Ba
-5.761 0.594 -0.666 Ba
-3.736 -0.526 2.586 Ba
-7.699 -0.630 2.441 Ba
-2.397 -2.562 -0.495 Fe
-5.028 -2.521 0.197 Fe
-4.469 2.589 1.723 Fe
-7.100 2.630 2.415 Fe
-4.826 1.148 -3.252 N
-3.738 -1.319 -0.319 N
-2.769 1.898 1.821 N
-6.728 -1.830 0.099 N
-5.759 1.387 2.239 N
-4.671 -1.080 5.172 N
-3.837 3.377 -0.974 Na
-5.660 -3.309 2.894 Na
```

## Properties
calculated density	5.345	g cm⁻³
calculated volume	280.4	Å³/cell
total moment	5.91	μB/cell
E_tot	-98.96	eV for the cell shown


# 13
## Ba2TlFe2N3 (GGA-PBE)

Data for an optimized crystal structure of Ba2TlFe2N3.

POSCAR file:
```
Ba2TlFe2N3
1.0
3.509 -5.878 0.000
3.509 5.878 0.000
-0.728 0.000 7.434
Ba Fe N Tl
4 4 6 2
Cartesian
1.684 0.764 0.815 Ba
4.969 0.764 2.903 Ba
1.320 -0.764 4.532 Ba
4.605 -0.764 6.620 Ba
2.518 -2.444 0.739 Fe
4.135 -2.444 2.978 Fe
2.154 2.444 4.456 Fe
3.771 2.444 6.695 Fe
5.678 1.668 0.422 N
3.327 -1.258 1.859 N
0.976 1.668 3.295 N
5.313 -1.668 4.139 N
2.963 1.258 5.576 N
0.612 -1.668 7.013 N
3.327 3.698 1.859 Tl
2.963 -3.698 5.576 Tl
```

## Properties
calculated density	6.852	g cm⁻³
calculated volume	306.7	Å³/cell
total moment	4.67	μB/cell
E_tot	-99.55	eV for the cell shown


# 14
## BaNaFeTc (GGA-PBE)

Data for an optimized crystal structure of BaNaFeTc.

POSCAR file:
```
BaNaFeTc
1.0
0.171 2.029 4.562
-3.675 3.017 1.532
-3.180 -1.532 3.536
Ba Fe Na Tc
1 1 1 1
Cartesian
0.000 0.000 0.000 Ba
-1.671 0.879 2.407 Fe
-5.013 2.636 7.222 Na
-3.342 1.757 4.815 Tc
```

## Properties
polymorph energy (0 for the lowest one)	0.025	eV/atom
calculated density	5.916	g cm⁻³
calculated volume	88.2	Å³/cell
total moment	4.57	μB/cell


# 15
## BaNaFeTc (GGA-PBE)

Data for an optimized crystal structure of BaNaFeTc.

POSCAR file:
```
BaNaFeTc
1.0
4.492 -1.273 -1.682
2.713 -3.349 2.460
0.737 -4.507 -1.943
Ba Fe Na Tc
1 1 1 1
Cartesian
3.971 -4.564 -0.582 Ba
0.000 0.000 0.000 Fe
5.956 -6.847 -0.873 Na
1.985 -2.282 -0.291 Tc
```

## Properties
polymorph energy (0 for the lowest one)	0.000	eV/atom
calculated density	6.037	g cm⁻³
calculated volume	86.4	Å³/cell
total moment	4.00	μB/cell


# 16
## BaNaFeTc (GGA-PBE)

Data for an optimized crystal structure of BaNaFeTc.

POSCAR file:
```
BaNaFeTc
1.0
0.000 3.704 3.704
3.704 0.000 3.704
3.704 3.704 0.000
Ba Fe Na Tc
1 1 1 1
Cartesian
1.852 1.852 1.852 Ba
0.000 0.000 0.000 Fe
5.556 5.556 5.556 Na
3.704 3.704 3.704 Tc
```

## Properties
polymorph energy (0 for the lowest one)	0.289	eV/atom
calculated density	5.133	g cm⁻³
calculated volume	101.6	Å³/cell
total moment	5.90	μB/cell


# 17
## BaNb2Fe (GGA-PBE)

Data for an optimized crystal structure of BaNb2Fe.

POSCAR file:
```
BaNb2Fe
1.0
1.463 -1.189 4.444
-1.729 -3.974 2.128
2.866 -3.830 0.653
Ba Fe Nb
1 1 2
Cartesian
1.300 -4.496 3.613 Ba
0.650 -2.248 1.806 Fe
0.000 0.000 0.000 Nb
1.951 -6.745 5.419 Nb
```

## Properties
calculated density	7.910	g cm⁻³
calculated volume	79.6	Å³/cell
total moment	2.46	μB/cell
E_tot	-26.08	eV for the cell shown


# 18
## BaNbFe (GGA-PBE)

Data for an optimized crystal structure of BaNbFe.

POSCAR file:
```
BaNbFe
1.0
0.000 3.366 3.366
3.366 0.000 3.366
3.366 3.366 0.000
Ba Fe Nb
1 1 1
Cartesian
1.683 1.683 1.683 Ba
0.000 0.000 0.000 Fe
5.049 5.049 5.049 Nb
```

## Properties
polymorph energy (0 for the lowest one)	0.000	eV/atom
calculated density	6.227	g cm⁻³
calculated volume	76.3	Å³/cell
total moment	0.35	μB/cell


# 19
## BaNbFe (GGA-PBE)

Data for an optimized crystal structure of BaNbFe.

POSCAR file:
```
BaNbFe
1.0
0.000 3.230 3.230
3.230 0.000 3.230
3.230 3.230 0.000
Ba Fe Nb
1 1 1
Cartesian
0.000 0.000 0.000 Ba
1.615 1.615 1.615 Fe
4.845 4.845 4.845 Nb
```

## Properties
polymorph energy (0 for the lowest one)	0.907	eV/atom
calculated density	7.050	g cm⁻³
calculated volume	67.4	Å³/cell
total moment	1.20	μB/cell


# 20
## Ba2NbFe (GGA-PBE)

Data for an optimized crystal structure of Ba2NbFe.

POSCAR file:
```
Ba2NbFe
1.0
3.365 -2.931 2.820
-1.808 -3.116 3.859
0.069 -5.246 -0.592
Ba Fe Nb
2 1 1
Cartesian
0.000 0.000 0.000 Ba
1.220 -8.470 4.565 Ba
0.407 -2.823 1.522 Fe
0.813 -5.646 3.044 Nb
```

## Properties
calculated density	6.757	g cm⁻³
calculated volume	104.0	Å³/cell
total moment	0.89	μB/cell
E_tot	-17.42	eV for the cell shown


# 21
## BaFe2Ni (GGA-PBE)

Data for an optimized crystal structure of BaFe2Ni.

POSCAR file:
```
BaFe2Ni
1.0
2.321 1.340 3.791
-2.321 1.340 3.791
0.000 -2.680 3.791
Ba Fe Ni
1 2 1
Cartesian
0.000 0.000 2.843 Ba
0.000 0.000 5.686 Fe
0.000 0.000 8.529 Fe
0.000 0.000 0.000 Ni
```

## Properties
calculated density	7.222	g cm⁻³
calculated volume	70.8	Å³/cell
total moment	5.00	μB/cell
E_tot	-20.35	eV for the cell shown


# 22
## Ba3Fe2Ni2 (GGA-PBE)

Data for an optimized crystal structure of Ba3Fe2Ni2.

POSCAR file:
```
Ba3Fe2Ni2
1.0
6.983 -0.941 5.762
5.517 4.074 5.985
2.840 0.447 8.636
Ba Fe Ni
3 2 2
Cartesian
5.908 1.379 7.850 Ba
9.598 2.240 12.754 Ba
13.286 3.100 17.654 Ba
3.680 0.859 4.889 Fe
11.574 2.701 15.379 Fe
0.043 0.010 0.057 Ni
7.683 1.793 10.209 Ni
```

## Properties
calculated density	5.235	g cm⁻³
calculated volume	203.3	Å³/cell
total moment	6.19	μB/cell
E_tot	-26.64	eV for the cell shown


# 23
## BaFeNiP2 (GGA-PBE)

Data for an optimized crystal structure of BaFeNiP2.

POSCAR file:
```
BaFeNiP2
1.0
0.522 2.129 6.396
-3.644 -1.258 5.555
3.166 -2.551 -5.402
Ba Fe Ni P
1 1 1 2
Cartesian
0.000 0.000 0.000 Ba
1.063 0.007 3.485 Fe
-1.019 -1.687 3.064 Ni
-1.068 0.298 4.089 P
-2.054 0.573 7.862 P
```

## Properties
calculated density	5.700	g cm⁻³
calculated volume	91.4	Å³/cell
total moment	1.14	μB/cell
E_tot	-30.54	eV for the cell shown


# 24
## BaNpFe (GGA-PBE)

Data for an optimized crystal structure of BaNpFe.

POSCAR file:
```
BaNpFe
1.0
-2.522 -3.744 -0.769
0.078 -3.468 2.990
-3.669 -0.864 2.601
Ba Fe Np
1 1 1
Cartesian
0.000 0.000 0.000 Ba
-1.528 -2.019 1.205 Fe
-4.585 -6.057 3.616 Np
```

## Properties
calculated density	10.518	g cm⁻³
calculated volume	67.9	Å³/cell
total moment	2.46	μB/cell
E_tot	-17.78	eV for the cell shown


# 25
## BaFeP2Os (GGA-PBE)

Data for an optimized crystal structure of BaFeP2Os.

POSCAR file:
```
BaFeP2Os
1.0
-1.973 1.973 6.190
1.973 -1.973 6.190
1.973 1.973 -6.190
Ba Fe Os P
1 1 1 2
Cartesian
0.000 0.000 0.000 Ba
0.000 1.973 3.095 Fe
1.973 0.000 3.095 Os
0.000 0.000 4.249 P
0.000 0.000 8.130 P
```

## Properties
calculated density	7.675	g cm⁻³
calculated volume	96.4	Å³/cell
total moment	0.02	μB/cell
E_tot	-35.95	eV for the cell shown


# 26
## Ba2FeOsS6 (GGA-PBE)

Data for an optimized crystal structure of Ba2FeOsS6.

POSCAR file:
```
Ba2FeOsS6
1.0
-5.345 1.416 -2.941
0.190 -5.499 -2.993
-5.520 -4.437 1.249
Ba Fe Os S
2 1 1 6
Cartesian
-3.961 -0.315 -2.954 Ba
-1.194 -3.769 -2.979 Ba
-5.338 -4.260 -2.342 Fe
-2.760 -2.219 0.625 Os
-1.483 -1.176 -1.204 S
-7.075 -2.898 -2.788 S
-4.514 -2.738 -0.901 S
-6.161 -5.783 -3.783 S
-3.600 -5.623 -1.896 S
-9.193 -7.345 -3.480 S
```

## Properties
polymorph energy (0 for the lowest one)	0.000	eV/atom
calculated density	5.322	g cm⁻³
calculated volume	222.5	Å³/cell
total moment	4.52	μB/cell


# 27
## Ba2FeOsS6 (GGA-PBE)

Data for an optimized crystal structure of Ba2FeOsS6.

POSCAR file:
```
Ba2FeOsS6
1.0
5.778 -3.336 0.000
5.778 3.336 0.000
-3.852 0.000 5.447
Ba Fe Os S
2 1 1 6
Cartesian
7.704 0.000 1.362 Ba
0.000 0.000 4.085 Ba
3.852 0.000 2.724 Fe
0.000 0.000 0.000 Os
4.805 -1.651 1.376 S
4.805 1.651 1.376 S
1.945 0.000 1.376 S
2.899 -1.651 4.072 S
2.899 1.651 4.072 S
5.758 0.000 4.072 S
```

## Properties
polymorph energy (0 for the lowest one)	0.037	eV/atom
calculated density	5.640	g cm⁻³
calculated volume	210.0	Å³/cell
total moment	4.65	μB/cell


# 28
## Ba2FeOsSe6 (GGA-PBE)

Data for an optimized crystal structure of Ba2FeOsSe6.

POSCAR file:
```
Ba2FeOsSe6
1.0
6.528 0.000 0.000
-0.008 6.531 0.000
-3.204 -3.269 6.041
Ba Fe Os Se
2 1 1 6
Cartesian
4.908 1.645 0.136 Ba
1.646 4.888 0.138 Ba
1.642 1.627 2.358 Fe
4.907 4.900 2.694 Os
4.913 4.912 0.268 Se
-0.469 2.724 3.136 Se
2.737 3.742 3.137 Se
3.763 0.539 3.149 Se
0.559 -0.483 3.151 Se
-1.563 -1.648 5.999 Se
```

## Properties
calculated density	6.412	g cm⁻³
calculated volume	257.6	Å³/cell
total moment	3.12	μB/cell
E_tot	-52.09	eV for the cell shown